Material: La2Dy5ErSc
Method: DFT, PBE
State: relaxed

Results
E_form = 131 kJ/mol of formula units
M_tot = 0.000 μB per cell
SG = No. 36

Cell and atoms, written as POSCAR:
```
La2Dy5ErSc
1.0
2.785 -10.031 0.000
2.785 10.031 0.000
0.000 0.000 10.424
La Dy Er Sc
4 10 2 2
Direct
0.114 0.886 0.500 La
0.116 0.884 0.922 La
0.884 0.116 0.422 La
0.886 0.114 0.000 La
0.015 0.985 0.203 Dy
0.275 0.725 0.506 Dy
0.297 0.703 0.887 Dy
0.374 0.626 0.205 Dy
0.484 0.516 0.928 Dy
0.516 0.484 0.428 Dy
0.626 0.374 0.705 Dy
0.703 0.297 0.387 Dy
0.725 0.275 0.006 Dy
0.985 0.015 0.703 Dy
0.407 0.593 0.649 Er
0.593 0.407 0.149 Er
0.197 0.803 0.200 Sc
0.803 0.197 0.700 Sc
```



Material: Hf2MnSe4
Method: DFT, PBE
State: relaxed

Results
Energy relative to the elements, uncorrected = -6.83 eV per formula unit
M_tot = 8.500 μB per cell
SG = No. 141

Cell and atoms, written as POSCAR:
```
Hf2MnSe4
1.0
-3.898 3.898 5.508
3.898 -3.898 5.508
3.898 3.898 -5.508
Hf Mn Se
4 2 8
Direct
0.000 0.000 0.000 Hf
0.000 0.000 0.500 Hf
0.000 0.500 0.000 Hf
0.500 0.000 0.500 Hf
0.375 0.625 0.750 Mn
0.625 0.375 0.250 Mn
0.237 0.246 0.991 Se
0.245 0.754 0.491 Se
0.246 0.237 0.491 Se
0.246 0.755 0.009 Se
0.754 0.245 0.991 Se
0.754 0.763 0.509 Se
0.755 0.246 0.509 Se
0.763 0.754 0.009 Se
```



Material: KPmHg2
Method: DFT, PBE
State: relaxed

Results
E_form = -70 kJ/mol of formula units
M_tot = 0.000 μB per cell
SG = No. 166

Cell and atoms, written as POSCAR:
```
KPmHg2
1.0
4.115 0.000 0.000
-2.057 3.563 0.000
0.000 0.000 28.343
K Pm Hg
3 3 6
Direct
0.000 0.000 0.000 K
0.333 0.667 0.667 K
0.667 0.333 0.333 K
0.000 0.000 0.500 Pm
0.333 0.667 0.167 Pm
0.667 0.333 0.833 Pm
0.000 0.000 0.239 Hg
0.000 0.000 0.761 Hg
0.333 0.667 0.427 Hg
0.333 0.667 0.906 Hg
0.667 0.333 0.094 Hg
0.667 0.333 0.573 Hg
```



Material: Gd2DyTe
Method: DFT, PBE
State: relaxed

Results
Energy relative to the elements, uncorrected = -2.38 eV per formula unit
M_tot = 15.105 μB per cell
SG = No. 123

Cell and atoms, written as POSCAR:
```
Gd2DyTe
1.0
3.923 0.000 0.000
0.000 3.923 0.000
0.000 0.000 7.804
Gd Dy Te
2 1 1
Direct
0.000 0.000 0.224 Gd
0.000 0.000 0.776 Gd
0.500 0.500 0.500 Dy
0.500 0.500 0.000 Te
```



- What is the M_tot in the second record?
  8.500 μB per cell